Material: Ba2Pt
Method: DFT, PBE-GGA
State: relaxed

```
data_Ba2Pt
_chemical_formula_sum 'Ba4 Pt2'
_space_group_name_H-M_alt 'P 1'
_space_group_IT_number 1
_space_group_name_Hall 'P 1'
_cell_length_a 9.6076
_cell_length_b 9.6076
_cell_length_c 9.6076
_cell_angle_alpha 60.00
_cell_angle_beta 60.00
_cell_angle_gamma 60.00
loop_
_atom_site_label
_atom_site_fract_x
_atom_site_fract_y
_atom_site_fract_z
_atom_site_occupancy
Ba1 0.1250 0.1250 0.1250 1
Ba2 0.1250 0.1250 0.6250 1
Ba3 0.6250 0.1250 0.1250 1
Ba4 0.1250 0.6250 0.1250 1
Pt1 0.0000 0.0000 0.0000 1
Pt2 0.2500 0.2500 0.2500 1
```

Output
- E_tot: -3.217 eV/atom
- Crystal system: cubic